Record 1
The following is a PBE calculation of a relaxed structure of Ac4RhS3, from the Alexandria database.

Lattice parameters (Å, degrees): 7.5919 7.5919 4.2713 90.00 90.00 108.93
Closest atoms and distances in Å follow each position.
Fractional coordinates of all 8 atoms:
Ac 0.2393 0.2393 0.5000  2 Rh 3.00, 4 S 3.09-3.14
Ac 0.2483 0.7517 0.0000  1 Rh 3.07, 5 S 3.07-3.11
Ac 0.7517 0.2483 0.0000  1 Rh 3.07, 5 S 3.07-3.11
Ac 0.7607 0.7607 0.5000  2 Rh 3.00, 4 S 3.09-3.14
Rh 0.0000 0.0000 0.0000  6 Ac 3.00-3.07
S 0.0000 0.5000 0.5000  6 Ac 3.07-3.09
S 0.5000 0.0000 0.5000  6 Ac 3.07-3.09
S 0.5000 0.5000 0.0000  6 Ac 3.11-3.14

**ΔE_f (raw)**: -1.64 eV per atom
**Final energy**: -6.16 eV/atom
**Density**: 7.9 g/cm3

Record 2
The following is a PBE calculation of a relaxed structure of Ag3As4, from the Alexandria database.

Lattice parameters (Å, degrees): 10.4593 10.4593 10.4593 159.61 159.61 29.00
Closest atoms and distances in Å follow each position.
Fractional coordinates of all 7 atoms:
Ag 0.0000 0.0000 0.0000  2 As 2.78
Ag 0.2796 0.2796 0.0000  2 As 2.67-2.88, 4 Ag 2.88
Ag 0.7204 0.7204 0.0000  2 As 2.67-2.88, 4 Ag 2.88
As 0.1372 0.1372 0.0000  6 Ag 2.78-3.11, 4 As 2.80
As 0.4116 0.4116 0.0000  1 Ag 2.67, 4 As 2.80
As 0.5884 0.5884 0.0000  1 Ag 2.67, 4 As 2.80
As 0.8628 0.8628 0.0000  6 Ag 2.78-3.11, 4 As 2.80

**Energy above the most stable polymorph in this dataset**: 0.000 eV/atom
**Final energy**: -3.64 eV/atom
**Formation energy**: 0.243 eV/atom
**Density**: 7.5 g/cm3

Record 3
The following is a PBE calculation of a relaxed structure of Tb5Pr2Ho2, from the Alexandria database.

Lattice parameters (Å, degrees): 10.1293 10.1293 10.1293 84.95 108.04 141.10
Closest atoms and distances in Å follow each position.
Fractional coordinates of all 18 atoms:
Tb 0.2469 0.0524 0.2993  4 Tb 3.19-3.37, 1 Pr 3.29, 1 Ho 3.35
Tb 0.2469 0.4476 0.6945  4 Tb 3.19-3.37, 1 Pr 3.29, 1 Ho 3.35
Tb 0.4387 0.4471 0.4917  6 Tb 3.24-3.59, 2 Pr 3.43-3.59, 2 Ho 3.57
Tb 0.4559 0.0472 0.1234  4 Tb 3.19-3.39, 1 Ho 3.37, 1 Pr 3.44
Tb 0.4559 0.8325 0.9087  4 Tb 3.19-3.39, 1 Ho 3.37, 1 Pr 3.44
Tb 0.7531 0.5524 0.3055  4 Tb 3.19-3.37, 1 Pr 3.29, 1 Ho 3.35
Tb 0.7531 0.9476 0.7007  4 Tb 3.19-3.37, 1 Pr 3.29, 1 Ho 3.35
Tb 0.9238 0.3325 0.8766  4 Tb 3.19-3.39, 1 Ho 3.37, 1 Pr 3.44
Tb 0.9238 0.5472 0.0913  4 Tb 3.19-3.39, 1 Ho 3.37, 1 Pr 3.44
Tb 0.9554 0.9471 0.5083  6 Tb 3.24-3.59, 2 Pr 3.43-3.59, 2 Ho 3.57
Pr 0.8126 0.3126 0.5000  4 Tb 3.29-3.60, 2 Ho 3.64
Pr 0.8126 0.8126 0.0000  4 Tb 3.29-3.60, 2 Ho 3.64
Pr 0.8895 0.1466 0.2429  4 Tb 3.43-3.59, 2 Ho 3.59, 2 Pr 3.78
Pr 0.9037 0.6466 0.7571  4 Tb 3.43-3.59, 2 Ho 3.59, 2 Pr 3.78
Ho 0.3514 0.2258 0.8727  4 Tb 3.35-3.61, 2 Pr 3.59-3.64, 1 Ho 3.69
Ho 0.3514 0.9787 0.6256  4 Tb 3.35-3.61, 2 Pr 3.59-3.64, 1 Ho 3.69
Ho 0.3531 0.4787 0.1273  4 Tb 3.35-3.61, 2 Pr 3.59-3.64, 1 Ho 3.69
Ho 0.3531 0.7258 0.3744  4 Tb 3.35-3.61, 2 Pr 3.59-3.64, 1 Ho 3.69

**Energy above the most stable polymorph in this dataset**: 0.000 eV/atom
**Final energy**: -4.44 eV/atom
**Formation energy**: 0.212 eV/atom
**Density**: 7.8 g/cm3

Record 4
The following is a PBE calculation of a relaxed structure of PmTh2MnN4, from the Alexandria database.

Lattice parameters (Å, degrees): 6.1790 6.1790 12.0757 90.00 90.00 146.21
Closest atoms and distances in Å follow each position.
Fractional coordinates of all 16 atoms:
Pm 0.0993 0.9007 0.7500  6 N 2.55-2.83
Pm 0.9007 0.0993 0.2500  6 N 2.55-2.83
Th 0.3689 0.6311 0.5557  6 N 2.44-2.56
Th 0.3689 0.6311 0.9443  6 N 2.44-2.56
Th 0.6311 0.3689 0.0557  6 N 2.44-2.56
Th 0.6311 0.3689 0.4443  6 N 2.44-2.56
Mn 0.1679 0.8321 0.2500  2 N 1.97
Mn 0.8321 0.1679 0.7500  2 N 1.97
N 0.0000 0.0000 0.0000  4 Th 2.47
N 0.0000 0.0000 0.5000  4 Th 2.47
N 0.2700 0.7300 0.1216  1 Mn 1.97
N 0.2700 0.7300 0.3784  1 Mn 1.97
N 0.4462 0.5538 0.7500  2 Mn 2.25
N 0.5538 0.4462 0.2500  2 Mn 2.25
N 0.7300 0.2700 0.6216  1 Mn 1.97
N 0.7300 0.2700 0.8784  1 Mn 1.97

**ΔE_f (raw)**: -1.16 eV per atom
**Final energy**: -8.91 eV/atom
**Density**: 9.3 g/cm3

Record 5
The following is a PBE calculation of a relaxed structure of TlZn3Sb3, from the Alexandria database.

Lattice parameters (Å, degrees): 7.5355 7.5355 7.5355 90.00 90.00 90.00
Closest atoms and distances in Å follow each position.
Fractional coordinates of all 14 atoms:
Tl 0.0000 0.0000 0.0000  12 Sb 4.21, 12 Zn 4.21
Tl 0.5000 0.5000 0.5000  12 Sb 4.21, 12 Zn 4.21
Zn 0.0000 0.2500 0.5000  4 Sb 2.66
Zn 0.0000 0.7500 0.5000  4 Sb 2.66
Zn 0.2500 0.5000 0.0000  4 Sb 2.66
Zn 0.5000 0.0000 0.2500  4 Sb 2.66
Zn 0.5000 0.0000 0.7500  4 Sb 2.66
Zn 0.7500 0.5000 0.0000  4 Sb 2.66
Sb 0.0000 0.5000 0.2500  4 Zn 2.66
Sb 0.0000 0.5000 0.7500  4 Zn 2.66
Sb 0.2500 0.0000 0.5000  4 Zn 2.66
Sb 0.5000 0.2500 0.0000  4 Zn 2.66
Sb 0.5000 0.7500 0.0000  4 Zn 2.66
Sb 0.7500 0.0000 0.5000  4 Zn 2.66

**Energy above the most stable polymorph in this dataset**: 0.093 eV/atom
**ΔE_f (raw)**: 0.10 eV per atom
**Final energy**: -2.55 eV/atom
**Density**: 5.9 g/cm3

Record 6
The following is a PBE calculation of a relaxed structure of EuScRe4, from the Alexandria database.

Lattice parameters (Å, degrees): 5.3779 5.3779 5.3779 60.00 60.00 60.00
Closest atoms and distances in Å follow each position.
Fractional coordinates of all 6 atoms:
Eu 0.0000 0.0000 0.0000  12 Re 3.15, 4 Sc 3.29
Sc 0.2500 0.2500 0.2500  12 Re 3.15, 4 Eu 3.29
Re 0.1257 0.6248 0.6248  6 Re 2.68-2.69
Re 0.6248 0.1257 0.6248  6 Re 2.68-2.69
Re 0.6248 0.6248 0.1257  6 Re 2.68-2.69
Re 0.6248 0.6248 0.6248  6 Re 2.68-2.69

**Final energy**: -11.07 eV/atom
**Formation energy**: -0.007 eV/atom
**Density**: 14.2 g/cm3